11
Lattice="5.898 0.012 0.115 -2.905 5.133 0.115 -1.001 -1.720 6.600" Properties=species:S:1:pos:R:3 comment="Rb2Sm2RuO6, relaxed, DFT PBE" final_energy_ev_per_atom=-6.688 formation_energy_uncorrected_ev_per_atom=-2.1065 space_group="C2/m (12)" pbc="T T T"
Rb 4.468 0.844 0.115
Rb -1.475 4.301 0.115
Sm -0.470 2.565 3.415
Sm 2.462 0.859 3.415
Ru -0.500 -0.860 3.300
O 1.613 2.773 4.561
O -1.422 0.679 4.446
O 0.379 0.651 2.269
O 1.293 -0.900 4.446
O 3.414 2.746 2.383
O 0.699 4.325 2.383